(1)
First-principles (GGA-PBE) data for an optimized crystal structure of K2RbBaBr, as listed in Alexandria.

Unit cell a=7.0400 b=7.0400 c=6.5099 alpha=90.00 beta=90.00 gamma=90.00
Fractional coordinates of all 5 atoms:
Ba 0.0000 0.0000 0.5000
Br 0.0000 0.0000 0.0000
Rb 0.5000 0.5000 0.5000
K 0.5000 0.0000 0.0000
K 0.0000 0.5000 0.0000

- Raw formation energy: -0.55 eV/atom
- Total moment: 0.0 μB/cell
- Final energy: -1.897 eV/atom

=====

(2)
First-principles (GGA-PBE) data for an optimized crystal structure of RbNaRe2C, as listed in Alexandria.

Unit cell a=4.0689 b=5.8117 c=4.0689 alpha=90.00 beta=90.00 gamma=90.00
Fractional coordinates of all 5 atoms:
C 0.0000 0.0000 0.0000
Re 0.0000 0.0000 0.5000
Re 0.5000 0.0000 0.0000
Rb 0.0000 0.5000 0.0000
Na 0.5000 0.5000 0.5000

- ΔE_f: 0.959 eV/atom
- Total moment: 0.0 μB/cell
- Final energy: -6.322 eV/atom

=====

(3)
First-principles (GGA-PBE) data for an optimized crystal structure of MgZn2Se2, as listed in Alexandria.

Unit cell a=7.6814 b=7.6814 c=3.9150 alpha=90.00 beta=90.00 gamma=90.00
Fractional coordinates of all 10 atoms:
Mg 0.0000 0.0000 0.0000
Mg 0.5000 0.5000 0.0000
Zn 0.1094 0.3906 0.5000
Zn 0.8906 0.6094 0.5000
Zn 0.6094 0.1094 0.5000
Zn 0.3906 0.8906 0.5000
Se 0.7558 0.2558 0.0000
Se 0.2558 0.2442 0.0000
Se 0.2442 0.7442 0.0000
Se 0.7442 0.7558 0.0000

- Raw formation energy: -0.38 eV/atom
- Offset from the most stable computed form: 0.77 eV/f.u.
- Total moment: 0.0 μB/cell
- Final energy: -2.602 eV/atom

=====

(4)
First-principles (GGA-PBE) data for an optimized crystal structure of MgCdPd, as listed in Alexandria.

Unit cell a=5.0176 b=5.0187 c=5.4980 alpha=96.26 beta=109.90 gamma=118.53
Fractional coordinates of all 6 atoms:
Mg 0.8254 0.2178 0.7545
Mg 0.1746 0.7822 0.2455
Pd 0.1532 0.8971 0.7522
Pd 0.8468 0.1029 0.2478
Cd 0.5283 0.4396 0.2554
Cd 0.4717 0.5604 0.7446

- Offset from the most stable computed form: 0.08 eV/f.u.
- ΔE_f: -0.431 eV/atom
- Total moment: 0.0 μB/cell
- Final energy: -2.998 eV/atom

=====

(5)
First-principles (GGA-PBE) data for an optimized crystal structure of YCrAs2, as listed in Alexandria.

Unit cell a=4.4613 b=4.9039 c=3.6657 alpha=90.00 beta=90.00 gamma=90.00
Site moments in Bohr magnetons follow the coordinates.
Fractional coordinates of all 4 atoms:
Y 0.0000 0.5000 0.5000  0.10
As 0.5000 0.5000 0.0000  -0.06
As 0.0000 0.0000 0.0000  -0.07
Cr 0.5000 0.0000 0.5000  3.66

- Offset from the most stable computed form: 1.45 eV/f.u.
- ΔE_f: -0.419 eV/atom
- Total moment: 4.1 μB/cell
- Final energy: -6.766 eV/atom

=====

(6)
First-principles (GGA-PBE) data for an optimized crystal structure of CsSmTlSe3, as listed in Alexandria.

Unit cell a=4.2778 b=9.3723 c=11.6365 alpha=109.02 beta=90.00 gamma=90.00
Fractional coordinates of all 12 atoms:
Se 0.7500 0.3311 0.5925
Se 0.7500 0.4288 0.1185
Se 0.2500 0.6689 0.4075
Se 0.7500 0.8831 0.1863
Se 0.2500 0.5712 0.8815
Se 0.2500 0.1169 0.8137
Cs 0.7500 0.7664 0.7305
Cs 0.2500 0.2336 0.2695
Tl 0.2500 0.1302 0.5800
Tl 0.7500 0.8698 0.4200
Sm 0.7500 0.3499 0.8578
Sm 0.2500 0.6501 0.1422

- Raw formation energy: -1.19 eV/atom
- Total moment: 0.0 μB/cell
- Final energy: -4.252 eV/atom

=====

(7)
First-principles (GGA-PBE) data for an optimized crystal structure of TbCeHgPb, as listed in Alexandria.

Unit cell a=5.0902 b=5.0902 c=5.6242 alpha=116.90 beta=116.91 gamma=90.00
Site moments in Bohr magnetons follow the coordinates.
Fractional coordinates of all 4 atoms:
Tb 0.2500 0.7500 0.5000  0.26
Ce 0.7500 0.2500 0.5000  0.90
Hg 0.5000 0.5000 0.0000  0.01
Pb 0.0000 0.0000 0.0000  -0.02

- ΔE_f: -0.401 eV/atom
- Total moment: 1.5 μB/cell
- Final energy: -4.045 eV/atom

=====

(8)
First-principles (GGA-PBE) data for an optimized crystal structure of HfMnBe3, as listed in Alexandria.

Unit cell a=4.6018 b=4.6018 c=4.6018 alpha=90.00 beta=90.00 gamma=90.00
Site moments in Bohr magnetons follow the coordinates.
Fractional coordinates of all 5 atoms:
Mn 0.5000 0.5000 0.5000  4.22
Be 0.0000 0.0000 0.5000  -0.04
Be 0.5000 0.0000 0.0000  -0.19
Be 0.0000 0.5000 0.0000  -0.13
Hf 0.0000 0.0000 0.0000  -0.65

- Offset from the most stable computed form: 7.95 eV/f.u.
- ΔE_f: 1.846 eV/atom
- Total moment: 2.8 μB/cell
- Final energy: -4.215 eV/atom

=====

(9)
First-principles (GGA-PBE) data for an optimized crystal structure of Sr2PmGaTe5, as listed in Alexandria.

Unit cell a=4.4269 b=10.4269 c=13.7698 alpha=90.00 beta=90.00 gamma=102.26
Fractional coordinates of all 18 atoms:
Te 0.7066 0.4133 0.1813
Te 0.9553 0.9105 0.5478
Te 0.4992 0.9984 0.7678
Te 0.3156 0.6312 0.3593
Te 0.2934 0.5867 0.6813
Te 0.0447 0.0895 0.0478
Te 0.6844 0.3688 0.8593
Te 0.3571 0.7143 0.0047
Te 0.6429 0.2857 0.5047
Te 0.5008 0.0016 0.2678
Pm 0.2062 0.4125 0.0237
Pm 0.7938 0.5875 0.5237
Sr 0.8815 0.7630 0.1820
Sr 0.1220 0.2440 0.3231
Sr 0.8780 0.7560 0.8231
Sr 0.1185 0.2370 0.6820
Ga 0.5607 0.1213 0.9343
Ga 0.4393 0.8787 0.4343

- Raw formation energy: -1.25 eV/atom
- Total moment: 0.0 μB/cell
- Final energy: -4.236 eV/atom

=====

(10)
First-principles (GGA-PBE) data for an optimized crystal structure of La3Ho4Er5, as listed in Alexandria.

Unit cell a=7.1374 b=11.2804 c=12.8815 alpha=151.27 beta=56.60 gamma=129.01
Fractional coordinates of all 12 atoms:
Ho 0.8323 0.6646 0.8333
Ho 0.9191 0.8388 0.6712
Ho 0.0809 0.1612 0.3288
Ho 0.1677 0.3354 0.1667
Er 0.2520 0.4979 0.9980
Er 0.5000 0.0000 0.5000
Er 0.7480 0.5021 0.0020
Er 0.3317 0.6686 0.8366
Er 0.6683 0.3314 0.1634
La 0.4149 0.8322 0.6662
La 0.0000 0.0000 0.5000
La 0.5851 0.1678 0.3338

- Offset from the most stable computed form: 0.00 eV/f.u.
- ΔE_f: 0.029 eV/atom
- Total moment: 0.0 μB/cell
- Final energy: -4.630 eV/atom

=====

(11)
First-principles (GGA-PBE) data for an optimized crystal structure of TiBeSiRu, as listed in Alexandria.

Unit cell a=4.1454 b=4.1454 c=4.1454 alpha=60.00 beta=60.00 gamma=60.00
Site moments in Bohr magnetons follow the coordinates.
Fractional coordinates of all 4 atoms:
Be 0.5000 0.5000 0.5000  0.01
Ru 0.7500 0.7500 0.7500  -0.02
Ti 0.2500 0.2500 0.2500  0.41
Si 0.0000 0.0000 0.0000  0.01

- Raw formation energy: -0.45 eV/atom
- Total moment: 0.5 μB/cell
- Final energy: -7.029 eV/atom

=====

(12)
First-principles (GGA-PBE) data for an optimized crystal structure of SrPrB2O6, as listed in Alexandria.

Unit cell a=6.5824 b=6.5824 c=6.9779 alpha=102.66 beta=102.66 gamma=99.12
Site moments in Bohr magnetons follow the coordinates.
Fractional coordinates of all 20 atoms:
Pr 0.6102 0.3898 0.2500  -0.01
Pr 0.3898 0.6102 0.7500  -0.01
O 0.2259 0.1774 0.1554  0.17
O 0.8226 0.7741 0.3446  0.17
O 0.4846 0.7146 0.1172  0.11
O 0.9388 0.3616 0.1534  0.15
O 0.7146 0.4846 0.6172  0.11
O 0.6384 0.0612 0.3466  0.15
O 0.7741 0.8226 0.8446  0.17
O 0.3616 0.9388 0.6534  0.15
O 0.0612 0.6384 0.8466  0.15
O 0.2854 0.5154 0.3828  0.11
O 0.1774 0.2259 0.6554  0.17
O 0.5154 0.2854 0.8828  0.11
B 0.1437 0.3468 0.2339  -0.01
B 0.3468 0.1437 0.7339  -0.01
B 0.8563 0.6532 0.7661  -0.01
B 0.6532 0.8563 0.2661  -0.01
Sr 0.8320 0.1680 0.7500  0.00
Sr 0.1680 0.8320 0.2500  0.00

- Raw formation energy: -2.70 eV/atom
- Total moment: 2.1 μB/cell
- Final energy: -7.658 eV/atom

=====

Question: final energy of number 4 (MgCdPd)?
Answer: -2.998 eV/atom

=====

Question: Which of these has the lowest final energy?
Answer: SrPrB2O6

=====

Repeat the fifth record exactly.
First-principles (GGA-PBE) data for an optimized crystal structure of YCrAs2, as listed in Alexandria.

Unit cell a=4.4613 b=4.9039 c=3.6657 alpha=90.00 beta=90.00 gamma=90.00
Site moments in Bohr magnetons follow the coordinates.
Fractional coordinates of all 4 atoms:
Y 0.0000 0.5000 0.5000  0.10
As 0.5000 0.5000 0.0000  -0.06
As 0.0000 0.0000 0.0000  -0.07
Cr 0.5000 0.0000 0.5000  3.66

- Offset from the most stable computed form: 1.45 eV/f.u.
- ΔE_f: -0.419 eV/atom
- Total moment: 4.1 μB/cell
- Final energy: -6.766 eV/atom

=====

Question: Among the records above, which one has the highest final energy?
Answer: K2RbBaBr